A plane-wave DFT calculation with PBE-GGA was carried out for Ca3Ce3NiSe8 after structural relaxation.

The structure in CIF format:
```
data_Ca3Ce3NiSe8
_chemical_formula_sum 'Ca6 Ce6 Ni2 Se16'
_cell_length_a 14.3441
_cell_length_b 8.2880
_cell_length_c 8.4248
_cell_angle_alpha 90.00
_cell_angle_beta 124.61
_cell_angle_gamma 90.00
_space_group_name_H-M_alt 'C 1 2/m 1'
_space_group_IT_number 12
_space_group_name_Hall '-C 2y'
loop_
_atom_site_label
_atom_site_type_symbol
_atom_site_fract_x
_atom_site_fract_y
_atom_site_fract_z
_atom_site_occupancy
Ca1 Ca 0.0000 0.0000 0.0000 1
Ca2 Ca 0.2500 0.2500 0.0000 1
Ce1 Ce 0.0000 0.5000 0.5000 1
Ce2 Ce 0.2500 0.2500 0.5000 1
Ni1 Ni 0.0000 0.0000 0.5000 1
Se1 Se 0.0007 0.2339 0.2681 1
Se2 Se 0.2303 0.0000 0.7292 1
Se3 Se 0.2480 0.0000 0.2440 1
```

Calculated values
Total magnetization = 4.78 μB/f.u.
Raw formation energy = -1.591 eV/atom
N(E_F) = 51.2 states/eV/cell
VASP energy = -5.422 eV/atom

---

A plane-wave DFT calculation with PBE-GGA was carried out for CaCe2NpO8 after structural relaxation.

The structure in CIF format:
```
data_CaCe2NpO8
_chemical_formula_sum 'Ca1 Ce2 Np1 O8'
_cell_length_a 4.0060
_cell_length_b 5.3984
_cell_length_c 7.3763
_cell_angle_alpha 90.00
_cell_angle_beta 90.00
_cell_angle_gamma 90.00
_space_group_name_H-M_alt 'P m m m'
_space_group_IT_number 47
_space_group_name_Hall '-P 2 2'
loop_
_atom_site_label
_atom_site_type_symbol
_atom_site_fract_x
_atom_site_fract_y
_atom_site_fract_z
_atom_site_occupancy
Ca1 Ca 0.0000 0.0000 0.0000 1
Ce1 Ce 0.5000 0.5000 0.2455 1
Np1 Np 0.0000 0.0000 0.5000 1
O1 O 0.0000 0.2446 0.2793 1
O2 O 0.5000 0.2316 0.5000 1
O3 O 0.5000 0.2621 0.0000 1
```

Calculated values
Total magnetization = 1.01 μB/f.u.
Raw formation energy = -3.151 eV/atom
N(E_F) = 3.4 states/eV/cell
VASP energy = -8.691 eV/atom

---

A plane-wave DFT calculation with PBE-GGA was carried out for CaCeNpO6 after structural relaxation.

The structure in CIF format:
```
data_CaCeNpO6
_chemical_formula_sum 'Ca2 Ce2 Np2 O12'
_cell_length_a 5.7382
_cell_length_b 5.7382
_cell_length_c 9.5043
_cell_angle_alpha 90.00
_cell_angle_beta 90.00
_cell_angle_gamma 120.00
_space_group_name_H-M_alt 'P -3 1 c'
_space_group_IT_number 163
_space_group_name_Hall '-P 3 2c'
loop_
_atom_site_label
_atom_site_type_symbol
_atom_site_fract_x
_atom_site_fract_y
_atom_site_fract_z
_atom_site_occupancy
Ca1 Ca 0.3333 0.6667 0.2500 1
Ce1 Ce 0.0000 0.0000 0.0000 1
Np1 Np 0.3333 0.6667 0.7500 1
O1 O 0.0376 0.3564 0.6311 1
```

Calculated values
Total magnetization = 1.08 μB/f.u.
Raw formation energy = -3.025 eV/atom
N(E_F) = 7.8 states/eV/cell
VASP energy = -8.650 eV/atom

---

A plane-wave DFT calculation with PBE-GGA was carried out for Ca2CeNpO6 after structural relaxation.

The structure in CIF format:
```
data_Ca2CeNpO6
_chemical_formula_sum 'Ca4 Ce2 Np2 O12'
_cell_length_a 5.8302
_cell_length_b 6.0559
_cell_length_c 10.2949
_cell_angle_alpha 90.00
_cell_angle_beta 124.46
_cell_angle_gamma 90.00
_space_group_name_H-M_alt 'P 1 21/c 1'
_space_group_IT_number 14
_space_group_name_Hall '-P 2ybc'
loop_
_atom_site_label
_atom_site_type_symbol
_atom_site_fract_x
_atom_site_fract_y
_atom_site_fract_z
_atom_site_occupancy
Ca1 Ca 0.2328 0.0495 0.2451 1
Ce1 Ce 0.0000 0.0000 0.5000 1
Np1 Np 0.5000 0.0000 0.0000 1
O1 O 0.1330 0.1831 0.9375 1
O2 O 0.2395 0.7000 0.9237 1
O3 O 0.3866 0.0688 0.7577 1
```

Calculated values
Total magnetization = 3.00 μB/f.u.
Raw formation energy = -3.112 eV/atom
N(E_F) = 23.4 states/eV/cell
VASP energy = -8.375 eV/atom

---

A plane-wave DFT calculation with PBE-GGA was carried out for Ca3Ce2NpP6 after structural relaxation.

The structure in CIF format:
```
data_Ca3Ce2NpP6
_chemical_formula_sum 'Ca6 Ce4 Np2 P12'
_cell_length_a 7.1246
_cell_length_b 12.3376
_cell_length_c 7.0455
_cell_angle_alpha 90.00
_cell_angle_beta 109.71
_cell_angle_gamma 90.00
_space_group_name_H-M_alt 'C 1 2/m 1'
_space_group_IT_number 12
_space_group_name_Hall '-C 2y'
loop_
_atom_site_label
_atom_site_type_symbol
_atom_site_fract_x
_atom_site_fract_y
_atom_site_fract_z
_atom_site_occupancy
Ca1 Ca 0.0000 0.0000 0.0000 1
Ca2 Ca 0.0000 0.3319 0.0000 1
Ce1 Ce 0.0000 0.1665 0.5000 1
Np1 Np 0.0000 0.5000 0.5000 1
P1 P 0.2394 0.3372 0.7300 1
P2 P 0.2486 0.5000 0.2712 1
```

Calculated values
Total magnetization = 3.17 μB/f.u.
N(E_F) = 28.8 states/eV/cell
VASP energy = -6.466 eV/atom

---

A plane-wave DFT calculation with PBE-GGA was carried out for Ca2CeNpP4 after structural relaxation.

The structure in CIF format:
```
data_Ca2CeNpP4
_chemical_formula_sum 'Ca2 Ce1 Np1 P4'
_cell_length_a 7.0436
_cell_length_b 4.0945
_cell_length_c 7.0957
_cell_angle_alpha 90.00
_cell_angle_beta 109.64
_cell_angle_gamma 90.00
_space_group_name_H-M_alt 'P 1 2/m 1'
_space_group_IT_number 10
_space_group_name_Hall '-P 2y'
loop_
_atom_site_label
_atom_site_type_symbol
_atom_site_fract_x
_atom_site_fract_y
_atom_site_fract_z
_atom_site_occupancy
Ca1 Ca 0.0000 0.0000 0.0000 1
Ca2 Ca 0.0000 0.5000 0.5000 1
Ce1 Ce 0.5000 0.0000 0.5000 1
Np1 Np 0.5000 0.5000 0.0000 1
P1 P 0.2698 0.5000 0.2503 1
P2 P 0.2733 0.0000 0.7643 1
```

Calculated values
Total magnetization = 3.07 μB/f.u.
N(E_F) = 10.7 states/eV/cell
VASP energy = -6.704 eV/atom

---

A plane-wave DFT calculation with PBE-GGA was carried out for Ca2CeNpSb4 after structural relaxation.

The structure in CIF format:
```
data_Ca2CeNpSb4
_chemical_formula_sum 'Ca2 Ce1 Np1 Sb4'
_cell_length_a 7.7136
_cell_length_b 4.5128
_cell_length_c 7.8093
_cell_angle_alpha 90.00
_cell_angle_beta 109.69
_cell_angle_gamma 90.00
_space_group_name_H-M_alt 'P 1 2/m 1'
_space_group_IT_number 10
_space_group_name_Hall '-P 2y'
loop_
_atom_site_label
_atom_site_type_symbol
_atom_site_fract_x
_atom_site_fract_y
_atom_site_fract_z
_atom_site_occupancy
Ca1 Ca 0.0000 0.0000 0.0000 1
Ca2 Ca 0.0000 0.5000 0.5000 1
Ce1 Ce 0.5000 0.0000 0.5000 1
Np1 Np 0.5000 0.5000 0.0000 1
Sb1 Sb 0.2635 0.5000 0.2513 1
Sb2 Sb 0.2656 0.0000 0.7582 1
```

Calculated values
Total magnetization = 2.89 μB/f.u.
Raw formation energy = -0.752 eV/atom
N(E_F) = 12.3 states/eV/cell
VASP energy = -5.673 eV/atom

---

A plane-wave DFT calculation with PBE-GGA was carried out for CaCe2NpSb4 after structural relaxation.

The structure in CIF format:
```
data_CaCe2NpSb4
_chemical_formula_sum 'Ca1 Ce2 Np1 Sb4'
_cell_length_a 7.7108
_cell_length_b 4.4903
_cell_length_c 7.7899
_cell_angle_alpha 90.00
_cell_angle_beta 109.53
_cell_angle_gamma 90.00
_space_group_name_H-M_alt 'P 1 2/m 1'
_space_group_IT_number 10
_space_group_name_Hall '-P 2y'
loop_
_atom_site_label
_atom_site_type_symbol
_atom_site_fract_x
_atom_site_fract_y
_atom_site_fract_z
_atom_site_occupancy
Ca1 Ca 0.0000 0.0000 0.0000 1
Ce1 Ce 0.5000 0.0000 0.5000 1
Ce2 Ce 0.5000 0.5000 0.0000 1
Np1 Np 0.0000 0.5000 0.5000 1
Sb1 Sb 0.2479 0.0000 0.7442 1
Sb2 Sb 0.2534 0.5000 0.2567 1
```

Calculated values
Total magnetization = 5.00 μB/f.u.
Raw formation energy = -0.793 eV/atom
N(E_F) = 19.9 states/eV/cell
VASP energy = -6.206 eV/atom

---

A plane-wave DFT calculation with PBE-GGA was carried out for CaCeO after structural relaxation.

The structure in CIF format:
```
data_CaCeO
_chemical_formula_sum 'Ca1 Ce1 O1'
_cell_length_a 3.4260
_cell_length_b 3.4260
_cell_length_c 6.4509
_cell_angle_alpha 90.00
_cell_angle_beta 90.00
_cell_angle_gamma 120.00
_space_group_name_H-M_alt 'P 3 m 1'
_space_group_IT_number 156
_space_group_name_Hall 'P 3 -2"'
loop_
_atom_site_label
_atom_site_type_symbol
_atom_site_fract_x
_atom_site_fract_y
_atom_site_fract_z
_atom_site_occupancy
Ca1 Ca 0.0000 0.0000 0.0000 1
Ce1 Ce 0.3333 0.6667 0.4513 1
O1 O 0.6667 0.3333 0.1986 1
```

Calculated values
Total magnetization = 0.79 μB/f.u.
Raw formation energy = -1.658 eV/atom
N(E_F) = 4.9 states/eV/cell
VASP energy = -5.956 eV/atom

---

A plane-wave DFT calculation with PBE-GGA was carried out for CaCe6O12 after structural relaxation.

The structure in CIF format:
```
data_CaCe6O12
_chemical_formula_sum 'Ca3 Ce18 O36'
_cell_length_a 10.3107
_cell_length_b 10.3107
_cell_length_c 9.4575
_cell_angle_alpha 90.00
_cell_angle_beta 90.00
_cell_angle_gamma 120.00
_space_group_name_H-M_alt 'R -3'
_space_group_IT_number 148
_space_group_name_Hall '-R 3'
loop_
_atom_site_label
_atom_site_type_symbol
_atom_site_fract_x
_atom_site_fract_y
_atom_site_fract_z
_atom_site_occupancy
Ca1 Ca 0.0000 0.0000 0.0000 1
Ce1 Ce 0.0496 0.2574 0.6576 1
O1 O 0.0360 0.2191 0.3970 1
O2 O 0.0369 0.2220 0.8943 1
```

Calculated values
Total magnetization = 2.33 μB/f.u.
Raw formation energy = -3.418 eV/atom
N(E_F) = 59.4 states/eV/cell
VASP energy = -8.528 eV/atom

---

A plane-wave DFT calculation with PBE-GGA was carried out for CaCeO after structural relaxation.

The structure in CIF format:
```
data_CaCeO
_chemical_formula_sum 'Ca4 Ce4 O4'
_cell_length_a 11.8967
_cell_length_b 3.4290
_cell_length_c 6.4942
_cell_angle_alpha 90.00
_cell_angle_beta 95.78
_cell_angle_gamma 90.00
_space_group_name_H-M_alt 'C 1 2/m 1'
_space_group_IT_number 12
_space_group_name_Hall '-C 2y'
loop_
_atom_site_label
_atom_site_type_symbol
_atom_site_fract_x
_atom_site_fract_y
_atom_site_fract_z
_atom_site_occupancy
Ca1 Ca 0.1355 0.0000 0.3914 1
Ce1 Ce 0.1389 0.5000 0.9088 1
O1 O 0.2470 0.0000 0.7241 1
```

Calculated values
Total magnetization = 1.41 μB/f.u.
Raw formation energy = -1.657 eV/atom
N(E_F) = 22.8 states/eV/cell
VASP energy = -5.954 eV/atom

---

A plane-wave DFT calculation with PBE-GGA was carried out for CaCe2PO8 after structural relaxation.

The structure in CIF format:
```
data_CaCe2PO8
_chemical_formula_sum 'Ca1 Ce2 P1 O8'
_cell_length_a 5.2080
_cell_length_b 5.2080
_cell_length_c 6.4671
_cell_angle_alpha 90.00
_cell_angle_beta 90.00
_cell_angle_gamma 120.00
_space_group_name_H-M_alt 'P -3 m 1'
_space_group_IT_number 164
_space_group_name_Hall '-P 3 2"'
loop_
_atom_site_label
_atom_site_type_symbol
_atom_site_fract_x
_atom_site_fract_y
_atom_site_fract_z
_atom_site_occupancy
Ca1 Ca 0.0000 0.0000 0.0000 1
Ce1 Ce 0.3333 0.6667 0.3542 1
P1 P 0.0000 0.0000 0.5000 1
O1 O 0.1542 0.3083 0.6532 1
O2 O 0.3333 0.6667 0.0597 1
```

Calculated values
Total magnetization = 1.00 μB/f.u.
Raw formation energy = -2.552 eV/atom
N(E_F) = 7.3 states/eV/cell
VASP energy = -7.464 eV/atom